# 1
{"formula": "Li4Mn3Fe2Ni3O16", "functional": "PBE+U", "state": "optimized geometry", "lattice_angstrom": [[5.835, -0.006, 0.027], [-2.899, 4.999, -0.003], [-0.044, -0.009, 9.431]], "species": ["Li", "Li", "Li", "Li", "Mn", "Mn", "Mn", "Fe", "Fe", "Ni", "Ni", "Ni", "O", "O", "O", "O", "O", "O", "O", "O", "O", "O", "O", "O", "O", "O", "O", "O"], "frac_coords": [[0.337, 0.669, 0.888], [0.999, 0.989, 0.997], [0.004, 0.000, 0.500], [0.672, 0.337, 0.392], [0.168, 0.339, 0.213], [0.659, 0.831, 0.215], [0.829, 0.170, 0.715], [0.327, 0.665, 0.495], [0.662, 0.336, 0.992], [0.170, 0.831, 0.216], [0.340, 0.170, 0.715], [0.830, 0.661, 0.713], [0.160, 0.324, 0.605], [0.479, 0.516, 0.335], [0.346, 0.657, 0.102], [0.988, 0.010, 0.313], [0.977, 0.985, 0.811], [0.678, 0.836, 0.602], [0.039, 0.518, 0.334], [0.483, 0.963, 0.336], [0.839, 0.162, 0.100], [0.158, 0.836, 0.606], [0.522, 0.040, 0.835], [0.963, 0.488, 0.834], [0.690, 0.348, 0.604], [0.321, 0.162, 0.102], [0.525, 0.485, 0.831], [0.833, 0.673, 0.106]], "energy_ev_per_cell": -166.5, "spacegroup": "No. 1"}

# 2
{"formula": "Li4Mn2FeNi3P6O24", "functional": "PBE+U", "state": "optimized geometry", "lattice_angstrom": [[0.211, -7.288, 4.148], [5.320, -0.805, 6.954], [-3.365, -0.080, 7.716]], "species": ["Li", "Li", "Li", "Li", "Mn", "Mn", "Fe", "Ni", "Ni", "Ni", "P", "P", "P", "P", "P", "P", "O", "O", "O", "O", "O", "O", "O", "O", "O", "O", "O", "O", "O", "O", "O", "O", "O", "O", "O", "O", "O", "O", "O", "O"], "frac_coords": [[0.266, 0.638, 0.852], [0.719, 0.367, 0.156], [0.411, 0.111, 0.755], [0.007, 0.688, 0.423], [0.987, 0.003, 0.997], [0.500, 0.517, 0.493], [0.141, 0.154, 0.152], [0.861, 0.850, 0.847], [0.637, 0.657, 0.645], [0.357, 0.325, 0.371], [0.768, 0.029, 0.440], [0.449, 0.759, 0.036], [0.074, 0.464, 0.749], [0.932, 0.539, 0.253], [0.547, 0.252, 0.954], [0.250, 0.966, 0.565], [0.899, 0.537, 0.685], [0.718, 0.881, 0.443], [0.909, 0.737, 0.105], [0.446, 0.686, 0.904], [0.948, 0.397, 0.184], [0.749, 0.545, 0.428], [0.745, 0.107, 0.909], [0.524, 0.430, 0.770], [0.884, 0.946, 0.575], [0.398, 0.773, 0.555], [0.896, 0.098, 0.226], [0.588, 0.864, 0.925], [0.387, 0.185, 0.001], [0.100, 0.920, 0.762], [0.600, 0.213, 0.465], [0.176, 0.067, 0.393], [0.501, 0.590, 0.217], [0.241, 0.894, 0.102], [0.257, 0.458, 0.568], [0.072, 0.591, 0.824], [0.527, 0.304, 0.115], [0.101, 0.258, 0.887], [0.325, 0.089, 0.575], [0.103, 0.487, 0.316]], "energy_ev_per_cell": -266.4, "spacegroup": "No. 1"}

# 3
{"formula": "Li6MnFe2O6", "functional": "PBE+U", "state": "optimized geometry", "lattice_angstrom": [[-1.992, 2.463, -0.874], [1.585, -3.367, -7.286], [-9.420, -4.374, 3.660]], "species": ["Li", "Li", "Li", "Li", "Li", "Li", "Li", "Li", "Li", "Li", "Li", "Li", "Mn", "Mn", "Fe", "Fe", "Fe", "Fe", "O", "O", "O", "O", "O", "O", "O", "O", "O", "O", "O", "O"], "frac_coords": [[0.794, 0.794, 0.192], [0.308, 0.297, 0.689], [0.819, 0.449, 0.826], [0.305, 0.947, 0.328], [0.631, 0.613, 0.326], [0.149, 0.117, 0.826], [0.982, 0.631, 0.691], [0.464, 0.126, 0.192], [0.116, 0.458, 0.192], [0.640, 0.963, 0.690], [0.497, 0.785, 0.826], [0.973, 0.281, 0.328], [0.806, 0.122, 0.509], [0.307, 0.622, 0.009], [0.976, 0.954, 0.010], [0.473, 0.455, 0.511], [0.637, 0.289, 0.007], [0.140, 0.789, 0.506], [0.876, 0.380, 0.631], [0.365, 0.876, 0.132], [0.249, 0.368, 0.886], [0.738, 0.864, 0.386], [0.675, 0.541, 0.130], [0.209, 0.045, 0.626], [0.938, 0.703, 0.887], [0.403, 0.199, 0.392], [0.028, 0.207, 0.132], [0.546, 0.711, 0.631], [0.067, 0.532, 0.387], [0.584, 0.036, 0.885]], "e_above_lowest_polymorph_mev_per_atom": 140.8, "spacegroup": "No. 2"}

# 4
{"formula": "Li4MnFe5O12", "functional": "PBE+U", "state": "optimized geometry", "lattice_angstrom": [[-0.535, -1.582, -4.708], [3.530, -2.005, 2.911], [-5.475, -8.080, 2.473]], "species": ["Li", "Li", "Li", "Li", "Mn", "Fe", "Fe", "Fe", "Fe", "Fe", "O", "O", "O", "O", "O", "O", "O", "O", "O", "O", "O", "O"], "frac_coords": [[0.256, 0.923, 0.744], [0.077, 0.744, 0.256], [0.919, 0.254, 0.743], [0.746, 0.081, 0.257], [0.000, 0.000, 0.500], [0.166, 0.834, 0.000], [0.665, 0.335, 0.500], [0.335, 0.665, 0.500], [0.833, 0.167, 0.000], [0.502, 0.498, 0.000], [0.362, 0.026, 0.397], [0.974, 0.638, 0.603], [0.460, 0.812, 0.106], [0.816, 0.468, 0.108], [0.188, 0.540, 0.894], [0.889, 0.882, 0.893], [0.532, 0.184, 0.892], [0.026, 0.362, 0.397], [0.711, 0.712, 0.395], [0.638, 0.974, 0.603], [0.288, 0.289, 0.605], [0.118, 0.111, 0.107]], "e_above_lowest_polymorph_mev_per_atom": 0.0, "spacegroup": "No. 5"}